NaIrAuSe2S | PBE-GGA | optimized geometry

Unit cell a=7.902 b=7.902 c=9.511 alpha=90.00 beta=90.00 gamma=152.55
Fractional positions:
Au1 0.364 0.636 0.250
Au2 0.636 0.364 0.750
Ir1 0.000 0.000 0.000
Ir2 0.000 0.000 0.500
Na1 0.714 0.286 0.250
Na2 0.286 0.714 0.750
S1 0.040 0.960 0.250
S2 0.960 0.040 0.750
Se1 0.388 0.612 0.000
Se2 0.388 0.612 0.500
Se3 0.612 0.388 0.500
Se4 0.612 0.388 0.000

Calculated values
DFT total energy	-52.1	eV per cell
total moment	0.003	μB/atom
mass density	7.3	g/cm3



KTaIr | PBE-GGA | optimized geometry

Unit cell a=4.595 b=4.595 c=4.595 alpha=60.00 beta=60.00 gamma=60.00
Fractional positions:
Ir1 0.000 0.000 0.000
K1 0.250 0.250 0.250
Ta1 0.750 0.750 0.750

Calculated values
DFT total energy	-18.2	eV per cell
total moment	0.182	μB/atom
mass density	10.0	g/cm3



Nd2Ho2CI3Br2 | PBE-GGA | optimized geometry

Unit cell a=9.561 b=9.561 c=8.548 alpha=103.04 beta=103.04 gamma=23.76
Fractional positions:
Br1 0.155 0.155 0.340
Br2 0.845 0.845 0.660
C1 0.500 0.500 0.000
Ho1 0.000 0.000 0.189
Ho2 0.000 0.000 0.811
I1 0.832 0.832 0.195
I2 0.500 0.500 0.500
I3 0.168 0.168 0.805
Nd1 0.639 0.639 0.074
Nd2 0.361 0.361 0.926

Calculated values
DFT total energy	-48.2	eV per cell
total moment	0.005	μB/atom
mass density	6.3	g/cm3